The following is a PBE+U calculation of a geometry-optimized TbCoP2O8 structure, from Alexandria via LeMat-Bulk.

Calculated values
As for the electronic total energy: -7.258 eV per atom. The value obtained for the total moment is 4.00 μB/cell. As for the calculated volume: 12.3 Å³ per atom.

Cell: 5.1297 5.1297 6.4686 Å, 90.00 90.00 120.00°
Last column: nearest neighbours and their distance in Å.
Atoms (fractional coordinates):
Tb: 0.0000 0.0000 0.5000  6 O 2.43
Co: 0.0000 0.0000 0.0000  6 O 1.98
P: 0.3333 0.6667 0.7240  4 O 1.53-1.55
P: 0.6667 0.3333 0.2760  4 O 1.53-1.55
O: 0.1674 0.3348 0.7977  1 P 1.55
O: 0.1674 0.8326 0.7977  1 P 1.55
O: 0.6652 0.8326 0.7977  1 P 1.55
O: 0.3348 0.1674 0.2023  1 P 1.55
O: 0.6667 0.3333 0.5128  1 P 1.53
O: 0.3333 0.6667 0.4872  1 P 1.53
O: 0.8326 0.6652 0.2023  1 P 1.55
O: 0.8326 0.1674 0.2023  1 P 1.55